Record 1
DFT (PBE) results for Ce4Fe2Sn after structural relaxation.

Computed properties:
formation energy from the elements = -0.1999 eV/atom
space-group type = P1

a = 9.0739 Å, b = 9.0327 Å, c = 6.3517 Å
α = 106.05°, β = 109.37°, γ = 124.71°
Site moments in Bohr magnetons follow the coordinates.
Element x y z (fractional)
1 Fe 0.6415 0.6124 0.4301  -0.02
2 Ce 0.9957 0.6178 0.8388  0.03
3 Fe 0.4544 0.8843 0.0450  -0.03
4 Ce 0.8939 0.7742 0.3728  0.01
5 Fe 0.8295 0.4144 0.9592  -0.03
6 Ce 0.4329 0.5304 0.6890  0.01
7 Ce 0.4524 0.1685 0.4190  0.15
8 Ce 0.7443 0.0261 0.5612  0.05
9 Ce 0.7813 0.1601 0.1588  0.03
10 Ce 0.2102 0.4419 0.0102  0.06
11 Sn 0.9804 0.9808 0.9954  0.00
12 Fe 0.1565 0.1949 0.5398  -0.03
13 Ce 0.4345 0.2099 0.9786  0.15
14 Sn 0.2424 0.7342 0.5021  0.00

***

Record 2
DFT (PBE) results for U2CoTc after structural relaxation.

Computed properties:
formation energy from the elements = 0.0328 eV/atom
space-group type = P4/mmm

a = 3.3543 Å, b = 3.3543 Å, c = 6.2527 Å
α = 90.00°, β = 90.00°, γ = 90.00°
Element x y z (fractional)
1 U 0.0000 0.0000 0.2158
2 Tc 0.5000 0.5000 0.5000
3 U 0.0000 0.0000 0.7842
4 Co 0.5000 0.5000 0.0000

***

Record 3
DFT (PBE) results for LaHfSbF2 after structural relaxation.

Computed properties:
space-group type = P4/mmm
formation energy from raw total energies = -75 kJ per mole of atoms

a = 4.5722 Å, b = 4.5722 Å, c = 5.8641 Å
α = 90.00°, β = 90.00°, γ = 90.00°
Element x y z (fractional)
1 La 0.5000 0.5000 0.5000
2 F 0.5000 0.0000 0.0000
3 Sb 0.0000 0.0000 0.0000
4 F 0.0000 0.5000 0.0000
5 Hf 0.0000 0.0000 0.5000